# 1
Entry from OQMD: a relaxed structure of DyH2O2F (PBE). Values from VASP.

Cell and atoms, written as Quantum ESPRESSO input:
```
&SYSTEM
  ibrav = 0, nat = 12, ntyp = 4
/
ATOMIC_SPECIES
H 1.01 H.upf
O 16.00 O.upf
F 19.00 F.upf
Dy 162.50 Dy.upf
CELL_PARAMETERS angstrom
-5.8253 0.4514 -1.2479
-0.2404 -3.5125 -0.1483
1.7443 -0.3633 5.7762
ATOMIC_POSITIONS crystal
H 0.2511 0.2500 0.6251
H 0.1314 0.7500 0.7561
O 0.3884 0.2500 0.5825
O 0.6116 0.7500 0.4175
H 0.8686 0.2500 0.2439
H 0.7489 0.7500 0.3749
O 0.6941 0.2500 0.1048
F 0.0740 0.7500 0.1880
F 0.9260 0.2500 0.8120
Dy 0.3395 0.2500 0.1760
Dy 0.6605 0.7500 0.8240
O 0.3059 0.7500 0.8952
```

Computed properties:
energy	-75.7	eV/cell


# 2
Entry from OQMD: a relaxed structure of ScCu (PBE). Values from VASP.

Cell and atoms, written as Quantum ESPRESSO input:
```
&SYSTEM
  ibrav = 0, nat = 2, ntyp = 2
/
ATOMIC_SPECIES
Cu 63.55 Cu.upf
Sc 44.96 Sc.upf
CELL_PARAMETERS angstrom
-0.3839 -3.0336 1.0553
2.3849 0.4426 2.1401
-2.1514 1.0320 2.1840
ATOMIC_POSITIONS crystal
Cu 0.0000 0.0000 0.0000
Sc 0.5000 0.5000 0.5000
```

Computed properties:
energy	-10.6	eV/cell
calculated formation energy	-0.276	eV per atom


# 3
Entry from OQMD: a relaxed structure of SnHg2Bi (PBE). Values from VASP.

Cell and atoms, written as Quantum ESPRESSO input:
```
&SYSTEM
  ibrav = 0, nat = 4, ntyp = 3
/
ATOMIC_SPECIES
Bi 208.98 Bi.upf
Sn 118.71 Sn.upf
Hg 200.59 Hg.upf
CELL_PARAMETERS angstrom
-1.3664 -5.1095 1.0322
-3.2032 -1.1405 4.1807
-5.0545 -1.6623 -0.8531
ATOMIC_POSITIONS crystal
Bi 0.5000 0.5000 0.5000
Sn 0.2500 0.2500 0.2500
Hg 0.0000 0.0000 0.0000
Hg 0.7500 0.7500 0.7500
```

Computed properties:
energy	-8.4	eV/cell


# 4
Entry from OQMD: a relaxed structure of CsSmTe3Pt (PBE). Values from VASP.

Cell and atoms, written as Quantum ESPRESSO input:
```
&SYSTEM
  ibrav = 0, nat = 12, ntyp = 4
/
ATOMIC_SPECIES
Pt 195.08 Pt.upf
Te 127.60 Te.upf
Cs 132.91 Cs.upf
Sm 150.36 Sm.upf
CELL_PARAMETERS angstrom
-9.3385 1.7937 1.0005
7.4931 -5.5842 -2.0242
0.5201 -3.0322 10.2904
ATOMIC_POSITIONS crystal
Pt 0.0065 0.9935 0.2500
Te 0.5824 0.4176 0.7500
Te 0.1130 0.8870 0.4167
Te 0.4176 0.5824 0.2500
Te 0.8870 0.1130 0.5833
Cs 0.7517 0.2483 0.2500
Sm 0.5000 0.5000 0.0000
Te 0.8870 0.1130 0.9167
Sm 0.5000 0.5000 0.5000
Te 0.1130 0.8870 0.0833
Pt 0.9935 0.0065 0.7500
Cs 0.2483 0.7517 0.7500
```

Computed properties:
energy	-53.6	eV/cell


# 5
Entry from OQMD: a relaxed structure of DyYBr2NCl (PBE). Values from VASP.

Cell and atoms, written as Quantum ESPRESSO input:
```
&SYSTEM
  ibrav = 0, nat = 12, ntyp = 5
/
ATOMIC_SPECIES
Cl 35.45 Cl.upf
Br 79.90 Br.upf
Y 88.91 Y.upf
Dy 162.50 Dy.upf
N 14.01 N.upf
CELL_PARAMETERS angstrom
-7.3326 2.6850 -4.1525
-8.7004 0.1462 -1.5817
4.4765 5.9093 8.2172
ATOMIC_POSITIONS crystal
Cl 0.2092 0.2092 0.6098
Br 0.0464 0.0464 0.2395
Br 0.9536 0.9536 0.7605
Cl 0.7908 0.7908 0.3902
Br 0.3343 0.3343 0.9805
Y 0.4204 0.4204 0.5426
Dy 0.1341 0.1341 0.7866
N 0.5737 0.5737 0.6559
Br 0.6657 0.6657 0.0195
N 0.4263 0.4263 0.3441
Y 0.5796 0.5796 0.4574
Dy 0.8659 0.8659 0.2134
```

Computed properties:
energy	-72.4	eV/cell


# 6
Entry from OQMD: a relaxed structure of Sr2SmAl7Ag2 (PBE). Values from VASP.

Cell and atoms, written as Quantum ESPRESSO input:
```
&SYSTEM
  ibrav = 0, nat = 12, ntyp = 4
/
ATOMIC_SPECIES
Al 26.98 Al.upf
Ag 107.87 Ag.upf
Sr 87.62 Sr.upf
Sm 150.36 Sm.upf
CELL_PARAMETERS angstrom
2.8539 1.6477 9.0687
-2.8539 1.6477 9.0687
0.0000 -3.2954 9.0687
ATOMIC_POSITIONS crystal
Al 0.0742 0.5829 0.5829
Al 0.9258 0.4171 0.4171
Ag 0.3359 0.3359 0.3359
Sr 0.8575 0.8575 0.8575
Sm 0.0000 0.0000 0.0000
Al 0.5829 0.5829 0.0742
Ag 0.6641 0.6641 0.6641
Al 0.4171 0.9258 0.4171
Al 0.4171 0.4171 0.9258
Sr 0.1425 0.1425 0.1425
Al 0.5000 0.5000 0.5000
Al 0.5829 0.0742 0.5829
```

Computed properties:
energy	-43.5	eV/cell


# 7
Entry from OQMD: a relaxed structure of Er4TmHg5 (PBE). Values from VASP.

Cell and atoms, written as Quantum ESPRESSO input:
```
&SYSTEM
  ibrav = 0, nat = 10, ntyp = 3
/
ATOMIC_SPECIES
Hg 200.59 Hg.upf
Er 167.26 Er.upf
Tm 168.93 Tm.upf
CELL_PARAMETERS angstrom
3.6744 0.0000 0.0000
0.0000 3.6744 0.0000
0.0000 0.0000 18.3966
ATOMIC_POSITIONS crystal
Hg 0.5000 0.5000 0.9010
Er 0.0000 0.0000 0.8005
Er 0.0000 0.0000 0.1995
Er 0.0000 0.0000 0.3998
Hg 0.5000 0.5000 0.5000
Hg 0.5000 0.5000 0.2998
Hg 0.5000 0.5000 0.0990
Tm 0.0000 0.0000 0.0000
Hg 0.5000 0.5000 0.7002
Er 0.0000 0.0000 0.6002
```

Computed properties:
energy	-29.0	eV/cell
calculated formation energy	-0.482	eV per atom


# 8
Entry from OQMD: a relaxed structure of Pr2CdAu2 (PBE). Values from VASP.

Cell and atoms, written as Quantum ESPRESSO input:
```
&SYSTEM
  ibrav = 0, nat = 10, ntyp = 3
/
ATOMIC_SPECIES
Au 196.97 Au.upf
Pr 140.91 Pr.upf
Cd 112.41 Cd.upf
CELL_PARAMETERS angstrom
-2.3804 -6.9750 -3.4833
3.7015 -4.2164 5.9135
-3.3145 0.0701 2.1247
ATOMIC_POSITIONS crystal
Au 0.1283 0.3717 0.0000
Pr 0.6716 0.8284 0.5000
Cd 0.5000 0.5000 0.0000
Pr 0.3284 0.1716 0.5000
Au 0.3717 0.8717 0.0000
Pr 0.8284 0.3284 0.5000
Au 0.6283 0.1283 0.0000
Cd 0.0000 0.0000 0.0000
Au 0.8717 0.6283 0.0000
Pr 0.1716 0.6716 0.5000
```

Computed properties:
energy	-41.1	eV/cell
calculated formation energy	-0.713	eV per atom